{
  "formula": "Sc3AgO",
  "functional": "PBE-GGA",
  "state": "optimized geometry",
  "e_above_lowest_polymorph_mev_per_atom": 109.0,
  "formation_energy_uncorrected_kj_per_mol_atoms": -121.36,
  "spacegroup": "P1, No. 1",
  "dos_at_fermi_per_ev_fu": 2.73,
  "lattice": [[5.913, 0.000, 0.000], [2.770, 5.569, 0.000], [1.115, 2.603, 5.612]],
  "species": ["Sc", "Sc", "Sc", "Sc", "Sc", "Sc", "Ag", "Ag", "O", "O"],
  "fractional_positions": [[0.000, 0.000, 0.000], [0.034, 0.443, 0.450], [0.443, 0.993, 0.226], [0.480, 0.447, 0.680], [0.537, 0.497, 0.158], [0.940, 0.947, 0.531], [0.013, 0.503, 0.975], [0.459, 0.953, 0.696], [0.244, 0.721, 0.345], [0.634, 0.219, 0.026]]
}